<one>
The following is a DFT calculation (GGA-PBE) of AcPdSe after structural relaxation.

Output
Crystal system: tetragonal
Total moment, μB/cell: 0.00

Lattice parameters (Å, degrees): 4.1902 4.1902 5.4247 112.72 112.72 90.00
With the nearest neighbours (Å) after each atom.
Fractional coordinates of all 3 atoms:
1 Ac 0.9946 0.9946 0.9892  5 Pd 3.15-3.27, 5 Se 3.21-3.30
2 Pd 0.6474 0.6474 0.2949  1 Se 2.63
3 Se 0.3580 0.3580 0.7159  1 Pd 2.63

=====

<two>
The following is a DFT calculation (GGA-PBE) of AcPdSe after structural relaxation.

Output
Crystal system: monoclinic
Total moment, μB/cell: 0.00

Lattice parameters (Å, degrees): 5.8048 4.2689 8.0042 74.53 74.59 68.42
With the nearest neighbours (Å) after each atom.
Fractional coordinates of all 6 atoms:
1 Ac 0.7648 0.5337 0.5038  6 Pd 3.08-3.29, 4 Se 3.20-3.36
2 Ac 0.1701 0.6211 0.9238  5 Se 3.13-3.20, 2 Pd 3.18
3 Se 0.9041 0.1203 0.1913  1 Pd 2.58
4 Se 0.6177 0.9376 0.8432  1 Pd 2.63
5 Pd 0.1835 0.8618 0.4289  1 Se 2.58, 2 Pd 2.74
6 Pd 0.3105 0.2045 0.6162  1 Se 2.63, 2 Pd 2.74

=====

Short version: <one> is the least stable of them.

=====

<one>
The following is a DFT calculation (GGA-PBE) of AcPdSe after structural relaxation.

Output
Crystal system: cubic
Total moment, μB/cell: 0.00

Lattice parameters (Å, degrees): 4.8701 4.8701 4.8701 60.00 60.00 60.00
With the nearest neighbours (Å) after each atom.
Fractional coordinates of all 3 atoms:
1 Ac 0.5000 0.5000 0.5000  4 Pd 2.98
2 Se 0.0000 0.0000 0.0000  4 Pd 2.98
3 Pd 0.2500 0.2500 0.2500  4 Se 2.98, 4 Ac 2.98

=====

<two>
The following is a DFT calculation (GGA-PBE) of AcPdSe after structural relaxation.

Output
Crystal system: hexagonal
Total moment, μB/cell: 0.00

Lattice parameters (Å, degrees): 4.1409 4.5403 4.5403 120.00 90.00 90.00
With the nearest neighbours (Å) after each atom.
Fractional coordinates of all 3 atoms:
1 Ac 0.6666 0.3333 0.6667  6 Pd 3.34, 6 Se 3.34
2 Se 0.1662 0.0000 0.0000  3 Pd 2.62
3 Pd 0.1672 0.6667 0.3333  3 Se 2.62

=====

Short version: <one> is the least stable of them.

=====

<one>
The following is a DFT calculation (GGA-PBE) of AcPdSe2 after structural relaxation.

Output
Crystal system: monoclinic
Total moment, μB/cell: 0.00

Lattice parameters (Å, degrees): 4.2444 4.2444 6.3703 109.41 109.44 89.94
With the nearest neighbours (Å) after each atom.
Fractional coordinates of all 4 atoms:
1 Ac 0.2212 0.8813 0.2282  8 Se 3.35-3.36, 4 Pd 3.52
2 Pd 0.4713 0.6311 0.7282  4 Se 2.50
3 Se 0.8547 0.5147 0.4944  2 Pd 2.50
4 Se 0.5880 0.2476 0.9619  2 Pd 2.50

=====

<two>
The following is a DFT calculation (GGA-PBE) of AcPdSe2 after structural relaxation.

Output
Crystal system: trigonal
Total moment, μB/cell: 0.00

Lattice parameters (Å, degrees): 4.6945 4.6945 5.7603 65.95 65.95 60.00
With the nearest neighbours (Å) after each atom.
Fractional coordinates of all 4 atoms:
1 Ac 0.5000 0.5000 0.5000  8 Se 3.14-3.50
2 Se 0.7292 0.7292 0.8123  3 Pd 2.87, 3 Ac 3.14
3 Se 0.2708 0.2708 0.1877  3 Pd 2.87, 3 Ac 3.14
4 Pd 0.0000 0.0000 0.0000  6 Se 2.87

=====

Short version: <two> is the least stable of them.

=====

<one>
The following is a DFT calculation (GGA-PBE) of Ac2SiPd after structural relaxation.

Output
Crystal system: tetragonal
Total moment, μB/cell: 0.00

Lattice parameters (Å, degrees): 3.7985 3.7985 7.7836 90.00 90.00 90.00
With the nearest neighbours (Å) after each atom.
Fractional coordinates of all 4 atoms:
1 Ac 0.0000 0.0000 0.7508  4 Pd 3.31, 4 Si 3.32
2 Ac 0.0000 0.0000 0.2492  4 Pd 3.31, 4 Si 3.32
3 Si 0.5000 0.5000 0.5000  8 Ac 3.32
4 Pd 0.5000 0.5000 0.0000  8 Ac 3.31

=====

<two>
The following is a DFT calculation (GGA-PBE) of Ac2SiPd after structural relaxation.

Output
Crystal system: cubic
Total moment, μB/cell: 0.00

Lattice parameters (Å, degrees): 5.4283 5.4283 5.4283 60.00 60.00 60.00
With the nearest neighbours (Å) after each atom.
Fractional coordinates of all 4 atoms:
1 Ac 0.2500 0.2500 0.2500  4 Si 3.32, 4 Pd 3.32
2 Ac 0.7500 0.7500 0.7500  4 Pd 3.32, 4 Si 3.32
3 Si 0.5000 0.5000 0.5000  8 Ac 3.32
4 Pd 0.0000 0.0000 0.0000  8 Ac 3.32

=====

<three>
The following is a DFT calculation (GGA-PBE) of Ac2SiPd after structural relaxation.

Output
Crystal system: monoclinic
Total moment, μB/cell: 0.00

Lattice parameters (Å, degrees): 4.5087 6.1358 9.0448 112.78 90.00 90.00
With the nearest neighbours (Å) after each atom.
Fractional coordinates of all 8 atoms:
1 Ac 0.7500 0.2147 0.4213  3 Pd 3.21-3.33, 4 Si 3.26-3.31
2 Ac 0.2500 0.7853 0.5787  3 Pd 3.21-3.33, 4 Si 3.26-3.31
3 Ac 0.2500 0.7795 0.0678  4 Pd 3.19-3.46, 3 Si 3.25-3.33
4 Ac 0.7500 0.2205 0.9322  4 Pd 3.19-3.46, 3 Si 3.25-3.33
5 Si 0.7500 0.6390 0.2878  2 Pd 2.66
6 Si 0.2500 0.3610 0.7122  2 Pd 2.66
7 Pd 0.2500 0.3903 0.2202  2 Si 2.66
8 Pd 0.7500 0.6097 0.7798  2 Si 2.66

=====

Short version: <one> is the least stable of them.

=====

<one>
The following is a DFT calculation (GGA-PBE) of Ac2Si2Pd after structural relaxation.

Output
Crystal system: monoclinic
Total moment, μB/cell: 0.00

Lattice parameters (Å, degrees): 4.4756 6.1475 10.3955 82.34 77.57 68.65
With the nearest neighbours (Å) after each atom.
Fractional coordinates of all 10 atoms:
1 Ac 0.7121 0.2213 0.3546  7 Si 3.27-3.47, 4 Pd 3.31-3.37
2 Ac 0.8945 0.3128 0.8982  6 Si 3.17-3.38, 2 Pd 3.19
3 Ac 0.2879 0.7787 0.6454  7 Si 3.27-3.47, 4 Pd 3.31-3.37
4 Ac 0.1055 0.6872 0.1018  6 Si 3.17-3.38, 2 Pd 3.19
5 Si 0.0344 0.3459 0.5853  1 Si 2.40, 2 Pd 2.58
6 Si 0.6020 0.9039 0.8921  1 Si 2.51, 1 Pd 2.61
7 Si 0.9656 0.6541 0.4147  1 Si 2.40, 2 Pd 2.58
8 Si 0.3980 0.0961 0.1079  1 Si 2.51, 1 Pd 2.61
9 Pd 0.5561 0.2011 0.6866  3 Si 2.58-2.61
10 Pd 0.4439 0.7989 0.3134  3 Si 2.58-2.61

=====

<two>
The following is a DFT calculation (GGA-PBE) of Ac2Si2Pd after structural relaxation.

Output
Crystal system: orthorhombic
Total moment, μB/cell: 0.00

Lattice parameters (Å, degrees): 4.3921 4.3051 7.0155 107.87 90.00 90.00
With the nearest neighbours (Å) after each atom.
Fractional coordinates of all 5 atoms:
1 Ac 0.0000 0.6833 0.3666  4 Pd 3.23, 6 Si 3.26-3.53, 1 Ac 3.32
2 Ac 0.0000 0.9323 0.8645  8 Si 3.22-3.46, 2 Pd 3.24, 1 Ac 3.32
3 Si 0.5000 0.3130 0.6260  1 Si 2.54, 1 Pd 2.71
4 Si 0.5000 0.5032 0.0063  1 Si 2.54, 2 Pd 2.59
5 Pd 0.5000 0.1104 0.2207  3 Si 2.59-2.71

=====

Short version: <two> is the least stable of them.

=====

<one>
The following is a DFT calculation (GGA-PBE) of Ac2Si3Pd2 after structural relaxation.

Output
Crystal system: monoclinic
Total moment, μB/cell: 0.00

Lattice parameters (Å, degrees): 4.2321 6.1172 6.6508 100.87 90.00 110.24
With the nearest neighbours (Å) after each atom.
Fractional coordinates of all 7 atoms:
1 Ac 0.8234 0.6467 0.2735  5 Si 3.17-3.47, 5 Pd 3.20-3.50
2 Ac 0.1766 0.3533 0.7265  5 Si 3.17-3.47, 5 Pd 3.20-3.50
3 Si 0.5000 0.0000 0.0000  2 Si 2.52, 4 Pd 2.57
4 Si 0.5671 0.1343 0.3853  2 Si 2.38-2.52, 2 Pd 2.52
5 Si 0.4329 0.8657 0.6147  2 Si 2.38-2.52, 2 Pd 2.52
6 Pd 0.9118 0.8236 0.8094  4 Si 2.52-2.57
7 Pd 0.0882 0.1764 0.1906  4 Si 2.52-2.57

=====

<two>
The following is a DFT calculation (GGA-PBE) of Ac2Si3Pd2 after structural relaxation.

Output
Crystal system: orthorhombic
Total moment, μB/cell: 0.00

Lattice parameters (Å, degrees): 4.5199 7.1161 9.7593 90.00 103.39 90.00
With the nearest neighbours (Å) after each atom.
Fractional coordinates of all 14 atoms:
1 Ac 0.1568 0.2500 0.3136  6 Pd 3.16-3.18, 6 Si 3.19-3.20
2 Ac 0.8432 0.7500 0.6864  6 Pd 3.16-3.18, 6 Si 3.19-3.20
3 Ac 0.9430 0.2500 0.8860  9 Si 3.19-3.36
4 Ac 0.0570 0.7500 0.1140  9 Si 3.19-3.36
5 Si 0.2249 0.7500 0.4497  6 Pd 2.62-2.74
6 Si 0.7751 0.2500 0.5503  6 Pd 2.62-2.74
7 Si 0.5570 0.4239 0.1139  2 Si 2.42-2.48
8 Si 0.4430 0.5761 0.8861  2 Si 2.42-2.48
9 Si 0.4430 0.9239 0.8861  2 Si 2.42-2.48
10 Si 0.5570 0.0761 0.1139  2 Si 2.42-2.48
11 Pd 0.6947 0.9514 0.3894  4 Si 2.62-2.76, 1 Pd 2.87
12 Pd 0.3053 0.0486 0.6106  4 Si 2.62-2.76, 1 Pd 2.87
13 Pd 0.3053 0.4514 0.6106  4 Si 2.62-2.76, 1 Pd 2.87
14 Pd 0.6947 0.5486 0.3894  4 Si 2.62-2.76, 1 Pd 2.87

=====

Short version: <two> is the least stable of them.